# 1
! PBE MgPt14W, relaxed; values from VASP
&SYSTEM
  ibrav = 0, nat = 16, ntyp = 3
/
ATOMIC_SPECIES
Pt 195.08 Pt.upf
Mg 24.30 Mg.upf
W 183.84 W.upf
ATOMIC_POSITIONS crystal
Pt 0.6273 0.1227 0.7439
Pt 0.8750 0.8750 0.0000
Pt 0.6273 0.1227 0.2561
Pt 0.1227 0.6273 0.2561
Pt 0.3750 0.8750 0.5000
Pt 0.8750 0.3750 0.0000
Pt 0.8750 0.3750 0.5000
Pt 0.1227 0.6273 0.7439
Pt 0.3750 0.8750 0.0000
Pt 0.1227 0.1227 0.7439
Pt 0.3750 0.3750 0.0000
Pt 0.6273 0.6273 0.2561
Pt 0.6273 0.6273 0.7439
Pt 0.1227 0.1227 0.2561
Mg 0.3750 0.3750 0.5000
W 0.8750 0.8750 0.5000
CELL_PARAMETERS angstrom
5.6173 -0.0119 0.0000
0.0119 5.6173 0.0000
0.0000 0.0000 7.9001
! VASP energy	-6.455	eV per atom
! formation energy	-261	meV/atom
! SG	No. 123

# 2
! PBE MgPtW, relaxed; values from VASP
&SYSTEM
  ibrav = 0, nat = 6, ntyp = 3
/
ATOMIC_SPECIES
W 183.84 W.upf
Mg 24.30 Mg.upf
Pt 195.08 Pt.upf
ATOMIC_POSITIONS crystal
W 0.2171 0.0604 0.2432
W 0.2172 0.7812 0.6036
Mg 0.2175 0.4040 0.9147
Mg 0.7172 0.7354 0.0811
Pt 0.7172 0.4300 0.4280
Pt 0.7171 0.0814 0.7536
CELL_PARAMETERS angstrom
-2.7167 -1.6998 2.5725
4.6531 -3.1132 2.8579
-0.4858 3.5390 1.8252
! VASP energy	-6.954	eV per atom
! formation energy	-91	meV/atom
! SG	No. 38

# 3
! PBE MgPtW, relaxed; values from VASP
&SYSTEM
  ibrav = 0, nat = 6, ntyp = 3
/
ATOMIC_SPECIES
Pt 195.08 Pt.upf
W 183.84 W.upf
Mg 24.30 Mg.upf
ATOMIC_POSITIONS crystal
Pt 0.5599 0.4917 0.8947
Pt 0.5239 0.1695 0.8587
W 0.6003 0.8362 0.9352
W 0.9992 0.0126 0.3341
Mg 0.0415 0.3350 0.3764
Mg 0.0785 0.6475 0.4134
CELL_PARAMETERS angstrom
2.8336 0.0013 -0.0004
-0.3204 12.1900 0.0094
-0.1124 -0.0783 2.8303
! VASP energy	-7.119	eV per atom
! formation energy	-257	meV/atom
! SG	No. 8

# 4
! PBE MgPtW3, relaxed; values from VASP
&SYSTEM
  ibrav = 0, nat = 5, ntyp = 3
/
ATOMIC_SPECIES
W 183.84 W.upf
Pt 195.08 Pt.upf
Mg 24.30 Mg.upf
ATOMIC_POSITIONS crystal
W 0.0000 0.0000 0.5000
W 0.0000 0.5000 0.0000
W 0.5000 0.0000 0.0000
Pt 0.5000 0.5000 0.5000
Mg 0.0000 0.0000 0.0000
CELL_PARAMETERS angstrom
4.4883 0.0000 0.0000
0.0000 4.4883 0.0000
0.0000 0.0000 4.4883
! VASP energy	-6.957	eV per atom
! formation energy	2342	meV/atom
! SG	No. 221

# 5
! PBE MgPtW, relaxed; values from VASP
&SYSTEM
  ibrav = 0, nat = 6, ntyp = 3
/
ATOMIC_SPECIES
Mg 24.30 Mg.upf
Pt 195.08 Pt.upf
W 183.84 W.upf
ATOMIC_POSITIONS crystal
Mg 0.8215 0.7402 0.4266
Mg 0.6757 0.4019 0.2850
Pt 0.1709 0.4233 0.8142
Pt 0.9097 0.0744 0.6618
W 0.3166 0.7678 0.9214
W 0.4166 0.0848 0.1961
CELL_PARAMETERS angstrom
-1.4557 -3.5921 -3.2939
3.1759 -6.2389 2.1976
-2.4105 -0.3693 1.3193
! VASP energy	-6.971	eV per atom
! formation energy	-108	meV/atom
! SG	No. 1

# 6
! PBE Mg2PtW, relaxed; values from VASP
&SYSTEM
  ibrav = 0, nat = 4, ntyp = 3
/
ATOMIC_SPECIES
Mg 24.30 Mg.upf
W 183.84 W.upf
Pt 195.08 Pt.upf
ATOMIC_POSITIONS crystal
Mg 0.0000 0.0000 0.9771
Mg 0.5000 0.5000 0.2853
W 0.5000 0.5000 0.7291
Pt 0.0000 0.0000 0.5085
CELL_PARAMETERS angstrom
-0.2245 -2.4093 -1.5579
1.9569 1.0141 -1.8503
6.2021 -3.5582 4.6092
! VASP energy	-5.651	eV per atom
! formation energy	-105	meV/atom
! SG	No. 99